K2TmCdF6: relaxed, PBE-GGA.

Summary:
- Uncorrected formation energy: -2.971 eV/atom
- E: -4.85 eV/atom

Cell lengths 6.377, 9.131, 6.846 Å; angles 90.00, 90.00, 90.00 degrees
Space group Pmmn (No. 59, origin choice 2)
Symmetry-distinct sites (fractional):
K: 0.250 0.031 0.202 x4
Tm: 0.250 0.750 0.788 x2
Cd: 0.250 0.250 0.713 x2
F: 0.006 0.250 0.411 x4
F: 0.015 0.750 0.015 x4
F: 0.250 0.516 0.810 x4



MgInIBr4: relaxed, PBE-GGA.

Summary:
- Uncorrected formation energy: -0.943 eV/atom
- E: -2.74 eV/atom

Cell lengths 16.163, 8.027, 10.719 Å; angles 90.00, 100.74, 90.00 degrees
Space group C2/m (No. 12)
Symmetry-distinct sites (fractional):
Mg: 0.098 0.000 0.098 x4
In: 0.114 0.500 0.268 x4
I: 0.057 0.000 0.836 x4
Br: 0.038 0.500 0.826 x4
Br: 0.165 0.500 0.500 x4
Br: 0.193 0.250 0.174 x8



AcErScSn2: relaxed, PBE-GGA.

Summary:
- E: -5.21 eV/atom
- Energy relative to the elements: -605 meV per atom

Cell lengths 4.754, 4.754, 13.421 Å; angles 90.00, 90.00, 90.00 degrees
Space group I-4m2 (No. 119)
Symmetry-distinct sites (fractional):
Ac: 0.000 0.000 0.000 x2
Er: 0.000 0.500 0.250 x2
Sc: 0.000 0.500 0.750 x2
Sn: 0.000 0.000 0.391 x4



Ta2FeAs2: relaxed, PBE-GGA.

Summary:
- E: -8.36 eV/atom
- Energy relative to the elements: -70 meV per atom

Cell lengths 6.906, 6.906, 3.419 Å; angles 90.00, 90.00, 90.00 degrees
Space group P4/mbm (No. 127)
Symmetry-distinct sites (fractional):
Ta: 0.148 0.352 0.000 x4
Fe: 0.000 0.000 0.500 x2
As: 0.152 0.652 0.500 x4



TaTl2Cl: relaxed, PBE-GGA.

Summary:
- Uncorrected formation energy: 0.863 eV/atom
- E: -3.74 eV/atom
- Offset from the most stable computed form: 957 meV/atom

Cell lengths 4.341, 4.341, 21.803 Å; angles 90.00, 90.00, 90.00 degrees
Space group I-42d (No. 122)
Symmetry-distinct sites (fractional):
Ta: 0.000 0.000 0.000 x4
Tl: 0.242 0.250 0.125 x8
Cl: 0.000 0.000 0.500 x4



LuTaReOs: relaxed, PBE-GGA.

Summary:
- E: -10.22 eV/atom
- Energy relative to the elements: -209 meV per atom

Cell lengths 6.509, 6.509, 6.509 Å; angles 90.00, 90.00, 90.00 degrees
Space group F-43m (No. 216)
Symmetry-distinct sites (fractional):
Lu: 0.000 0.000 0.000 x4
Ta: 0.000 0.000 0.500 x4
Re: 0.250 0.250 0.750 x4
Os: 0.250 0.250 0.250 x4



CaNd2Bi2: relaxed, PBE-GGA.

Summary:
- E: -4.67 eV/atom
- Offset from the most stable computed form: 0 meV/atom
- Energy relative to the elements: -808 meV per atom

Cell lengths 8.641, 8.641, 4.403 Å; angles 90.00, 90.00, 90.00 degrees
Space group P4/mbm (No. 127)
Symmetry-distinct sites (fractional):
Ca: 0.000 0.000 0.000 x2
Nd: 0.155 0.345 0.500 x4
Bi: 0.149 0.649 0.000 x4



CdP2H4O4: relaxed, PBE-GGA.

Summary:
- E: -5.17 eV/atom

Cell lengths 15.878, 5.566, 6.676 Å; angles 90.00, 101.52, 90.00 degrees
Space group C2/c (No. 15)
Symmetry-distinct sites (fractional):
Cd: 0.000 0.167 0.250 x4
P: 0.135 0.322 0.710 x8
H: 0.164 0.231 0.910 x8
H: 0.208 0.310 0.618 x8
O: 0.068 0.141 0.600 x8
O: 0.109 0.417 0.218 x8